Entry 1:
Computed, not measured: NbPbIN2 after structural relaxation at the PBE-GGA level of DFT.

Results
For the uncorrected formation energy, the calculation gives 0.533 eV/atom. The density of states at the Fermi level is 2.94 states/eV/cell. Its electronic total energy is -5.8629 eV per atom. The space-group type is P4/mmm, No. 123. Its relative energy among the computed polymorphs is 0 meV/atom. The total magnetization is 0.0 μB/f.u.

Structure (POSCAR):
```
NbPbIN2
1.0
-1.460 -2.441 3.176
3.690 0.495 2.077
-2.055 4.564 2.563
Nb N I Pb
1 2 1 1
Direct
0.000 0.000 0.000 Nb
0.500 0.000 0.000 N
0.000 0.500 0.000 N
0.000 0.000 0.500 I
0.500 0.500 0.500 Pb
```



Entry 2:
Computed, not measured: NbPbIN2 after structural relaxation at the PBE-GGA level of DFT.

Results
For the uncorrected formation energy, the calculation gives 2.025 eV/atom. The density of states at the Fermi level is 4.95 states/eV/cell. Its electronic total energy is -4.3707 eV per atom. The space-group type is P4/mmm, No. 123. Its relative energy among the computed polymorphs is 1492 meV/atom. The total magnetization is 4.1 μB/f.u.

Structure (POSCAR):
```
NbPbIN2
1.0
-2.863 3.204 -0.520
-1.351 -0.547 4.075
4.337 4.201 2.002
N I Pb Nb
2 1 1 1
Direct
0.000 0.500 0.000 N
0.500 0.000 0.000 N
0.000 0.000 0.500 I
0.000 0.000 0.000 Pb
0.500 0.500 0.500 Nb
```



Entry 3:
Computed, not measured: NbPdIN2 after structural relaxation at the PBE-GGA level of DFT.

Results
For the uncorrected formation energy, the calculation gives 1.846 eV/atom. The density of states at the Fermi level is 6.37 states/eV/cell. Its electronic total energy is -4.8463 eV per atom. The space-group type is P4/mmm, No. 123. Its relative energy among the computed polymorphs is 1362 meV/atom. The total magnetization is 0.0 μB/f.u.

Structure (POSCAR):
```
NbPdIN2
1.0
4.024 0.000 0.000
0.000 4.024 0.000
0.000 0.000 5.345
Nb Pd I N
1 1 1 2
Direct
0.500 0.500 0.500 Nb
0.000 0.000 0.000 Pd
0.000 0.000 0.500 I
0.500 0.000 0.000 N
0.000 0.500 0.000 N
```